1.
## CaYMo2 (PBEsol)

Data for a geometry-optimized CaYMo2 structure.

Values from the calculation:
Space-group type = Pmmm (47)
Uncorrected energy = -7.437 eV per atom

abc: 3.3668 4.4700 6.3810
angles: 90.00 90.00 90.00
Positions (direct):
Ca: 0.0000 0.0000 0.0000
Y: 0.0000 0.0000 0.5000
Mo: 0.5000 0.5000 0.3282
Mo: 0.5000 0.5000 0.6718

=====

2.
## CaYMo2 (PBEsol)

Data for a geometry-optimized CaYMo2 structure.

Values from the calculation:
Space-group type = P2/m (10)
Uncorrected energy = -7.435 eV per atom

abc: 2.9408 4.9486 6.3259
angles: 90.00 101.97 90.00
Positions (direct):
Ca: 0.0000 0.0000 0.0000
Y: 0.0000 0.0000 0.5000
Mo: 0.4747 0.5000 0.6831
Mo: 0.5253 0.5000 0.3169

=====

3.
## CaYMo2 (PBEsol)

Data for a geometry-optimized CaYMo2 structure.

Values from the calculation:
Space-group type = I4/mmm (139)
Uncorrected energy = -7.342 eV per atom

abc: 5.7070 5.7070 5.7070
angles: 138.88 138.88 59.56
Positions (direct):
Ca: 0.0000 0.0000 0.0000
Y: 0.5000 0.5000 0.0000
Mo: 0.2500 0.7500 0.5000
Mo: 0.7500 0.2500 0.5000

=====

4.
## CaYMo (PBEsol)

Data for a geometry-optimized CaYMo structure.

Values from the calculation:
Space-group type = I4mm (107)
Uncorrected energy = -6.277 eV per atom

abc: 7.9409 7.9409 7.9409
angles: 157.30 157.30 32.32
Positions (direct):
Ca: 0.0000 0.0000 0.0000
Y: 0.2841 0.2841 0.0000
Mo: 0.6483 0.6483 0.0000

=====

5.
## Ca4YMo (PBEsol)

Data for a geometry-optimized Ca4YMo structure.

Values from the calculation:
Space-group type = F-43m (216)
Uncorrected energy = -3.548 eV per atom

abc: 6.5196 6.5196 6.5196
angles: 60.00 60.00 60.00
Positions (direct):
Ca: 0.1254 0.1254 0.1254
Ca: 0.1254 0.1254 0.6237
Ca: 0.1254 0.6237 0.1254
Ca: 0.6237 0.1254 0.1254
Y: 0.7500 0.7500 0.7500
Mo: 0.5000 0.5000 0.5000

=====

6.
## CaZnMo2 (PBEsol)

Data for a geometry-optimized CaZnMo2 structure.

Values from the calculation:
Space-group type = P4/mmm (123)
Uncorrected energy = -6.205 eV per atom

abc: 3.8318 3.8318 4.6981
angles: 90.00 90.00 90.00
Positions (direct):
Ca: 0.0000 0.0000 0.0000
Zn: 0.5000 0.5000 0.0000
Mo: 0.0000 0.5000 0.5000
Mo: 0.5000 0.0000 0.5000

=====

7.
## CaZnMo2 (PBEsol)

Data for a geometry-optimized CaZnMo2 structure.

Values from the calculation:
Space-group type = C2/m (12)
Uncorrected energy = -6.282 eV per atom

abc: 5.5368 5.5368 4.9737
angles: 105.99 105.99 28.27
Positions (direct):
Ca: 0.0000 0.0000 0.0000
Zn: 0.5000 0.5000 0.5000
Mo: 0.2252 0.2252 0.7270
Mo: 0.7748 0.7748 0.2730

=====

8.
## CaZn2Mo (PBEsol)

Data for a geometry-optimized CaZn2Mo structure.

Values from the calculation:
Space-group type = Cm (8)
Uncorrected energy = -3.963 eV per atom

abc: 5.3582 5.3582 4.9522
angles: 109.63 109.63 30.71
Positions (direct):
Ca: 0.0000 0.0000 0.0000
Zn: 0.4727 0.4727 0.4979
Zn: 0.7598 0.7598 0.1791
Mo: 0.2169 0.2169 0.6416

=====

So what do the calculations give for E_form? Going down the list: 0.6859; 0.6879; 0.7810; 0.6312; 0.9727; 0.6076; 0.5305; 0.3036 eV per atom.
So what do the calculations give for Fermi-level density of states? Going down the list: 0.946; 0.940; 0.890; 1.269; 1.577; 0.640; 0.781; 0.512 states/eV per atom.